This record from Alexandria describes crystalline Na2Tm2GeS6 at its relaxed geometry. The functional is GGA-PBE.

Values from the calculation:
ΔE_f (raw)   -14.62 eV/f.u.
Space-group type   C2/m

Cell: 6.591 6.591 7.118 Å, 98.57 98.57 119.62°
Atoms (fractional coordinates):
Na 0.167 0.833 0.000
Na 0.833 0.167 0.000
Tm 0.331 0.669 0.500
Tm 0.669 0.331 0.500
Ge 0.000 0.000 0.500
S 0.069 0.381 0.714
S 0.231 0.231 0.295
S 0.381 0.069 0.714
S 0.619 0.931 0.286
S 0.769 0.769 0.705
S 0.931 0.619 0.286

***

This record from Alexandria describes crystalline ThSb2 at its relaxed geometry. The functional is GGA-PBE.

Values from the calculation:
ΔE_f (raw)   -1.86 eV/f.u.
Space-group type   C2/m

Cell: 4.134 4.134 5.781 Å, 110.48 110.48 90.03°
Atoms (fractional coordinates):
Th 0.000 0.000 0.000
Sb 0.351 0.351 0.683
Sb 0.649 0.649 0.317

***

This record from Alexandria describes crystalline Pm6Ni2CBr3 at its relaxed geometry. The functional is GGA-PBE.

Values from the calculation:
ΔE_f (raw)   -9.52 eV/f.u.
Space-group type   C2/m

Cell: 6.878 6.878 7.840 Å, 98.34 98.34 119.97°
Atoms (fractional coordinates):
Pm 0.064 0.376 0.191
Pm 0.248 0.248 0.808
Pm 0.376 0.064 0.191
Pm 0.624 0.936 0.809
Pm 0.752 0.752 0.192
Pm 0.936 0.624 0.809
Ni 0.334 0.666 0.000
Ni 0.666 0.334 0.000
C 0.000 0.000 0.000
Br 0.167 0.833 0.500
Br 0.500 0.500 0.500
Br 0.833 0.167 0.500

***

This record from Alexandria describes crystalline PmErPa2P4 at its relaxed geometry. The functional is GGA-PBE.

Values from the calculation:
Space-group type   P2/m
DFT formation energy   -1.440 eV per atom

Cell: 6.931 4.003 6.934 Å, 90.00 109.47 90.00°
Atoms (fractional coordinates):
Pm 0.000 0.000 0.000
Er 0.000 0.500 0.500
Pa 0.500 0.000 0.500
Pa 0.500 0.500 0.000
P 0.256 0.000 0.747
P 0.259 0.500 0.258
P 0.741 0.500 0.742
P 0.744 0.000 0.253

***

This record from Alexandria describes crystalline Ca3CuIr at its relaxed geometry. The functional is GGA-PBE.

Values from the calculation:
Distance to the lowest polymorph of the same formula   0.000 eV per atom
Space-group type   Pmmn
DFT formation energy   -0.242 eV per atom

Cell: 4.324 9.005 6.562 Å, 90.00 90.00 90.00°
Atoms (fractional coordinates):
Ca 0.250 0.054 0.209
Ca 0.250 0.250 0.733
Ca 0.250 0.446 0.209
Ca 0.750 0.554 0.791
Ca 0.750 0.750 0.267
Ca 0.750 0.946 0.791
Cu 0.250 0.750 0.586
Cu 0.750 0.250 0.414
Ir 0.250 0.750 0.965
Ir 0.750 0.250 0.035

***

This record from Alexandria describes crystalline CeZr2ScAs4 at its relaxed geometry. The functional is GGA-PBE.

Values from the calculation:
Space-group type   P2/m
DFT formation energy   -1.262 eV per atom

Cell: 6.816 3.946 6.894 Å, 90.00 109.29 90.00°
Atoms (fractional coordinates):
Ce 0.000 0.000 0.000
Zr 0.000 0.500 0.500
Zr 0.500 0.000 0.500
Sc 0.500 0.500 0.000
As 0.256 0.000 0.745
As 0.262 0.500 0.261
As 0.738 0.500 0.739
As 0.744 0.000 0.255